{
  "formula": "Rb2Co",
  "functional": "GGA-PBE",
  "state": "optimized geometry",
  "magnetic_moment_mub_per_fu": 1.18,
  "de_polymorph_kj_per_mol_atoms": 0.0,
  "total_energy_ev_per_cell": -5.85,
  "cell": [[0.0000, 4.1765, 4.1765], [4.1765, 0.0000, 4.1765], [4.1765, 4.1765, 0.0000]],
  "species": ["Rb", "Co", "Rb"],
  "frac_coords": [[0.2500, 0.2500, 0.2500], [0.0000, 0.0000, 0.0000], [0.7500, 0.7500, 0.7500]]
}



{
  "formula": "RbCo2",
  "functional": "GGA-PBE",
  "state": "optimized geometry",
  "magnetic_moment_mub_per_fu": 2.98,
  "de_polymorph_kj_per_mol_atoms": 0.0,
  "total_energy_ev_per_cell": -23.72,
  "cell": [[1.7066, -3.3756, -3.8189], [-1.0245, -5.2606, 0.4095], [-3.5389, -2.3150, -3.3178]],
  "species": ["Rb", "Co", "Co", "Co", "Co", "Rb"],
  "frac_coords": [[0.2500, 0.2500, 0.2500], [0.6250, 0.6250, 0.1250], [0.1250, 0.6250, 0.6250], [0.6250, 0.1250, 0.6250], [0.6250, 0.6250, 0.6250], [0.0000, 0.0000, 0.0000]]
}



{
  "formula": "RbCo8",
  "functional": "GGA-PBE",
  "state": "optimized geometry",
  "magnetic_moment_mub_per_fu": 12.74,
  "total_energy_ev_per_cell": -103.17,
  "cell": [[0.0000, 4.0480, 8.1128], [3.5776, 0.0000, 8.1128], [3.5776, 4.0480, 0.0000]],
  "species": ["Co", "Co", "Co", "Co", "Co", "Co", "Co", "Co", "Co", "Co", "Co", "Co", "Co", "Rb", "Co", "Co", "Co", "Rb"],
  "frac_coords": [[0.3645, 0.4296, 0.8898], [0.0705, 0.5231, 0.7083], [0.8855, 0.8204, 0.3602], [0.3602, 0.9340, 0.8855], [0.5231, 0.0705, 0.6981], [0.9340, 0.3602, 0.8204], [0.3160, 0.8898, 0.4296], [0.5519, 0.5417, 0.7269], [0.8204, 0.8855, 0.9340], [0.1795, 0.7269, 0.5417], [0.4296, 0.3645, 0.3160], [0.6981, 0.7083, 0.5231], [0.5417, 0.5519, 0.1795], [0.2500, 0.2500, 0.2500], [0.7083, 0.6981, 0.0705], [0.8898, 0.3160, 0.3645], [0.7269, 0.1795, 0.5519], [0.0000, 0.0000, 0.0000]]
}



{
  "formula": "RbCo3",
  "functional": "GGA-PBE",
  "state": "optimized geometry",
  "magnetic_moment_mub_per_fu": 5.34,
  "de_polymorph_kj_per_mol_atoms": 0.0,
  "total_energy_ev_per_cell": -38.46,
  "cell": [[7.4761, 0.0000, 0.0000], [-3.7381, 6.4745, 0.0000], [0.0000, 0.0000, 3.8727]],
  "species": ["Co", "Co", "Co", "Rb", "Co", "Co", "Co", "Rb"],
  "frac_coords": [[0.8951, 0.1049, 0.7500], [0.7902, 0.8951, 0.2500], [0.2098, 0.1049, 0.7500], [0.3333, 0.6667, 0.7500], [0.1049, 0.8951, 0.2500], [0.8951, 0.7902, 0.7500], [0.1049, 0.2098, 0.2500], [0.6667, 0.3333, 0.2500]]
}



{
  "formula": "Rb3Co",
  "functional": "GGA-PBE",
  "state": "optimized geometry",
  "magnetic_moment_mub_per_fu": 1.84,
  "de_polymorph_kj_per_mol_atoms": 8.2,
  "total_energy_ev_per_cell": -6.59,
  "cell": [[6.4223, 0.3831, 1.9956], [1.4680, 0.4426, 6.5593], [2.8582, -5.2108, 3.1708]],
  "species": ["Rb", "Rb", "Rb", "Co"],
  "frac_coords": [[0.5000, 0.5000, 0.5000], [0.0000, 0.0000, 0.0000], [0.2500, 0.2500, 0.2500], [0.7500, 0.7500, 0.7500]]
}



{
  "formula": "Rb2Co",
  "functional": "GGA-PBE",
  "state": "optimized geometry",
  "magnetic_moment_mub_per_fu": 2.03,
  "de_polymorph_kj_per_mol_atoms": 32.5,
  "total_energy_ev_per_cell": -9.68,
  "cell": [[0.4965, -7.0297, 2.3060], [-3.7095, -2.1932, 6.0341], [-5.8213, -4.5429, -0.6741]],
  "species": ["Rb", "Rb", "Rb", "Rb", "Co", "Co"],
  "frac_coords": [[0.6250, 0.1250, 0.6250], [0.6250, 0.6250, 0.6250], [0.1250, 0.6250, 0.6250], [0.6250, 0.6250, 0.1250], [0.2500, 0.2500, 0.2500], [0.0000, 0.0000, 0.0000]]
}



{
  "formula": "Rb3Co",
  "functional": "GGA-PBE",
  "state": "optimized geometry",
  "magnetic_moment_mub_per_fu": 1.94,
  "de_polymorph_kj_per_mol_atoms": 0.0,
  "total_energy_ev_per_cell": -13.86,
  "cell": [[3.2324, -5.5357, 0.0000], [3.2324, 5.5357, 0.0000], [0.0000, 0.0000, 11.5176]],
  "species": ["Rb", "Rb", "Co", "Rb", "Rb", "Rb", "Rb", "Co"],
  "frac_coords": [[0.8334, 0.1666, 0.0721], [0.4973, 0.5027, 0.2500], [0.1681, 0.8319, 0.2500], [0.5027, 0.4973, 0.7500], [0.8334, 0.1666, 0.4279], [0.1666, 0.8334, 0.9279], [0.1666, 0.8334, 0.5721], [0.8319, 0.1681, 0.7500]]
}



{
  "formula": "RbCo2",
  "functional": "GGA-PBE",
  "state": "optimized geometry",
  "magnetic_moment_mub_per_fu": 3.70,
  "de_polymorph_kj_per_mol_atoms": 78.9,
  "total_energy_ev_per_cell": -18.82,
  "cell": [[5.4597, 0.0000, 0.0000], [0.0000, 5.4597, 0.0000], [0.0000, 0.0000, 6.3540]],
  "species": ["Co", "Rb", "Co", "Co", "Co", "Rb"],
  "frac_coords": [[0.1296, 0.8704, 0.5000], [0.0000, 0.0000, 0.0000], [0.3704, 0.3704, 0.0000], [0.6296, 0.6296, 0.0000], [0.8704, 0.1296, 0.5000], [0.5000, 0.5000, 0.5000]]
}



{
  "formula": "RbCo3",
  "functional": "GGA-PBE",
  "state": "optimized geometry",
  "magnetic_moment_mub_per_fu": 0.01,
  "de_polymorph_kj_per_mol_atoms": 103.7,
  "total_energy_ev_per_cell": -14.93,
  "cell": [[2.4301, -3.6488, 0.9433], [-1.7907, -4.0796, -0.5087], [1.4124, -2.6714, -3.3132]],
  "species": ["Co", "Rb", "Co", "Co"],
  "frac_coords": [[0.0000, 0.0000, 0.0000], [0.7500, 0.7500, 0.7500], [0.5000, 0.5000, 0.5000], [0.2500, 0.2500, 0.2500]]
}



{
  "formula": "Rb3Co",
  "functional": "GGA-PBE",
  "state": "optimized geometry",
  "magnetic_moment_mub_per_fu": 1.55,
  "de_polymorph_kj_per_mol_atoms": 6.9,
  "total_energy_ev_per_cell": -13.29,
  "cell": [[-3.7303, -5.0509, 6.0165], [7.6837, -2.2399, -3.4013], [2.9994, 3.2817, 4.6147]],
  "species": ["Co", "Rb", "Rb", "Rb", "Rb", "Rb", "Co", "Rb"],
  "frac_coords": [[0.6667, 0.3333, 0.2500], [0.1811, 0.8189, 0.2500], [0.3622, 0.1811, 0.7500], [0.8189, 0.1811, 0.7500], [0.6378, 0.8189, 0.2500], [0.8189, 0.6378, 0.7500], [0.3333, 0.6667, 0.7500], [0.1811, 0.3622, 0.2500]]
}



{
  "formula": "RbCo3",
  "functional": "GGA-PBE",
  "state": "optimized geometry",
  "magnetic_moment_mub_per_fu": 0.04,
  "de_polymorph_kj_per_mol_atoms": 103.3,
  "total_energy_ev_per_cell": -14.95,
  "cell": [[-2.0719, 2.0719, 3.6828], [2.0719, -2.0719, 3.6828], [2.0719, 2.0719, -3.6828]],
  "species": ["Rb", "Co", "Co", "Co"],
  "frac_coords": [[0.0000, 0.0000, 0.0000], [0.2500, 0.7500, 0.5000], [0.7500, 0.2500, 0.5000], [0.5000, 0.5000, 0.0000]]
}



{
  "formula": "Rb3Co",
  "functional": "GGA-PBE",
  "state": "optimized geometry",
  "magnetic_moment_mub_per_fu": 1.79,
  "de_polymorph_kj_per_mol_atoms": 8.9,
  "total_energy_ev_per_cell": -13.11,
  "cell": [[2.9984, -5.1971, 0.0000], [2.9984, 5.1971, 0.0000], [0.0000, 0.0000, 10.7159]],
  "species": ["Rb", "Rb", "Rb", "Co", "Rb", "Rb", "Rb", "Co"],
  "frac_coords": [[0.1667, 0.8333, 0.9248], [0.8333, 0.1667, 0.4248], [0.5001, 0.4999, 0.2500], [0.1666, 0.8334, 0.2500], [0.8333, 0.1667, 0.0752], [0.1667, 0.8333, 0.5752], [0.4999, 0.5001, 0.7500], [0.8334, 0.1666, 0.7500]]
}